Density functional theory data (PBE-GGA) for a relaxed structure of TeHWN2.

Structure (POSCAR):
```
TeHWN2
1.0
3.8546 0.0000 0.0000
0.0000 3.8546 0.0000
0.0000 0.0000 5.6391
Te H W N
1 1 1 2
direct
0.0000 0.0000 0.0000 Te
0.5000 0.5000 0.0000 H
0.0000 0.0000 0.5000 W
0.0000 0.5000 0.5000 N
0.5000 0.0000 0.5000 N
```

Summary:
energy above the most stable polymorph in this dataset: 21 meV/atom
electronic total energy: -6.507 eV per atom
V: 16.8 Å³ per atom
N(E_F): 3.44 states/eV/f.u.
mass density: 6.75 g/cm3

Density functional theory data (PBE-GGA) for a relaxed structure of Zn6Pt5Rh.

Structure (POSCAR):
```
Zn6Pt5Rh
1.0
4.4921 0.0000 0.0000
0.0000 5.8179 0.0000
-1.1649 0.0000 6.6434
Zn Pt Rh
6 5 1
direct
0.0000 0.2468 0.0000 Zn
0.0000 0.7532 0.0000 Zn
0.3357 0.2472 0.6704 Zn
0.3357 0.7528 0.6704 Zn
0.6643 0.2472 0.3296 Zn
0.6643 0.7528 0.3296 Zn
0.1648 0.0000 0.3330 Pt
0.1679 0.5000 0.3354 Pt
0.5000 0.5000 0.0000 Pt
0.8321 0.5000 0.6646 Pt
0.8352 0.0000 0.6670 Pt
0.5000 0.0000 0.0000 Rh
```

Summary:
electronic total energy: -4.309 eV per atom
V: 14.5 Å³ per atom
energy relative to the elements: -542 meV per atom
N(E_F): 3.22 states/eV/f.u.
mass density: 14.07 g/cm3

Density functional theory data (PBE-GGA) for a relaxed structure of NaCa3Cd.

Structure (POSCAR):
```
NaCa3Cd
1.0
6.0228 0.0000 0.0000
0.0000 6.0228 0.0000
0.0000 0.0000 6.0228
Na Ca Cd
1 3 1
direct
0.0000 0.0000 0.0000 Na
0.0000 0.5000 0.5000 Ca
0.5000 0.0000 0.5000 Ca
0.5000 0.5000 0.0000 Ca
0.5000 0.5000 0.5000 Cd
```

Summary:
energy above the most stable polymorph in this dataset: 123 meV/atom
electronic total energy: -1.609 eV per atom
V: 43.7 Å³ per atom
energy relative to the elements: 39 meV per atom
N(E_F): 4.00 states/eV/f.u.
mass density: 1.94 g/cm3

Density functional theory data (PBE-GGA) for a relaxed structure of HfVCrCl2.

Structure (POSCAR):
```
HfVCrCl2
1.0
4.4642 0.0000 0.0000
0.0000 4.4642 0.0000
0.0000 0.0000 5.5382
Hf V Cr Cl
1 1 1 2
direct
0.0000 0.0000 0.0000 Hf
0.5000 0.5000 0.0000 V
0.0000 0.0000 0.5000 Cr
0.0000 0.5000 0.5000 Cl
0.5000 0.0000 0.5000 Cl
```

Summary:
electronic total energy: -5.598 eV per atom
V: 22.1 Å³ per atom
N(E_F): 7.95 states/eV/f.u.
energy relative to the elements, uncorrected: 0.8793 eV per atom
mass density: 5.30 g/cm3

> Which of these has the lowest electronic total energy?

TeHWN2